1.
! Hf2MnNbPd | Alexandria via LeMat-Bulk | PBE | relaxed; values from VASP
&SYSTEM
  ibrav = 0, nat = 5, ntyp = 4
/
ATOMIC_SPECIES
Hf 178.49 Hf.upf
Mn 54.94 Mn.upf
Nb 92.91 Nb.upf
Pd 106.42 Pd.upf
ATOMIC_POSITIONS crystal
Hf 0.0000 0.5000 0.0000
Hf 0.5000 0.0000 0.0000
Mn 0.0000 0.0000 0.0000
Nb 0.5000 0.5000 0.5000
Pd 0.0000 0.0000 0.5000
CELL_PARAMETERS angstrom
4.6582 0.0000 0.0000
0.0000 4.6582 0.0000
0.0000 0.0000 4.6280
! * Fermi-level density of states: 4.8 states/eV/cell
! * formation energy: 0.63 eV/atom
! * space group: No. 123

=====

2.
! HfMnNbRe | Alexandria via LeMat-Bulk | PBE | relaxed; values from VASP
&SYSTEM
  ibrav = 0, nat = 4, ntyp = 4
/
ATOMIC_SPECIES
Hf 178.49 Hf.upf
Mn 54.94 Mn.upf
Nb 92.91 Nb.upf
Re 186.21 Re.upf
ATOMIC_POSITIONS crystal
Hf 0.0000 0.0000 0.0000
Mn 0.2500 0.2500 0.2500
Nb 0.5000 0.5000 0.5000
Re 0.7500 0.7500 0.7500
CELL_PARAMETERS angstrom
0.0000 3.1859 3.1859
3.1859 0.0000 3.1859
3.1859 3.1859 0.0000
! * Fermi-level density of states: 2.4 states/eV/cell
! * formation energy: -0.22 eV/atom
! * space group: No. 216

=====

3.
! HfMnNbTe2 | Alexandria via LeMat-Bulk | PBE | relaxed; values from VASP
&SYSTEM
  ibrav = 0, nat = 5, ntyp = 4
/
ATOMIC_SPECIES
Hf 178.49 Hf.upf
Mn 54.94 Mn.upf
Nb 92.91 Nb.upf
Te 127.60 Te.upf
ATOMIC_POSITIONS crystal
Hf 0.0000 0.0000 0.0000
Mn 0.0000 0.0000 0.5000
Nb 0.5000 0.5000 0.5000
Te 0.0000 0.5000 0.0000
Te 0.5000 0.0000 0.0000
CELL_PARAMETERS angstrom
5.4376 0.0000 0.0000
0.0000 5.4376 0.0000
0.0000 0.0000 4.6347
! * ΔE_f (raw): 1.12 eV per atom
! * Fermi-level density of states: 6.6 states/eV/cell
! * space group: No. 123

=====

4.
! Hf2MnNbV | Alexandria via LeMat-Bulk | PBE | relaxed; values from VASP
&SYSTEM
  ibrav = 0, nat = 5, ntyp = 4
/
ATOMIC_SPECIES
Hf 178.49 Hf.upf
Mn 54.94 Mn.upf
Nb 92.91 Nb.upf
V 50.94 V.upf
ATOMIC_POSITIONS crystal
Hf 0.0000 0.5000 0.0000
Hf 0.5000 0.0000 0.0000
Mn 0.0000 0.0000 0.5000
Nb 0.5000 0.5000 0.0000
V 0.5000 0.5000 0.5000
CELL_PARAMETERS angstrom
5.0467 0.0000 0.0000
0.0000 5.0467 0.0000
0.0000 0.0000 4.3855
! * Fermi-level density of states: 9.2 states/eV/cell
! * formation energy: 1.64 eV/atom
! * space group: No. 123